This record from Alexandria describes crystalline SrCrP2O8 at its relaxed geometry. The functional is PBE+U.

abc: 5.4576 7.1311 9.0442
angles: 108.65 99.85 98.27
Each line ends with the local moment (μB).
Atoms (fractional coordinates):
1 Sr 0.2766 0.7648 0.0442  0.00
2 Sr 0.7234 0.2352 0.9558  0.00
3 Cr 0.6520 0.8516 0.5643  2.79
4 Cr 0.3480 0.1484 0.4357  2.79
5 P 0.3789 0.4495 0.2429  0.02
6 P 0.6211 0.5505 0.7571  0.02
7 P 0.8607 0.0383 0.3049  0.01
8 P 0.1393 0.9617 0.6951  0.01
9 O 0.8759 0.5473 0.8570  -0.16
10 O 0.5820 0.5049 0.1562  -0.20
11 O 0.6125 0.7605 0.7408  -0.08
12 O 0.9275 0.0925 0.7039  -0.06
13 O 0.4180 0.4951 0.8438  -0.20
14 O 0.9758 0.7562 0.5721  -0.04
15 O 0.0242 0.2438 0.4279  -0.04
16 O 0.2627 0.9794 0.8644  -0.02
17 O 0.3875 0.2395 0.2592  -0.08
18 O 0.7373 0.0206 0.1356  -0.02
19 O 0.1241 0.4527 0.1430  -0.16
20 O 0.4271 0.6096 0.4147  -0.20
21 O 0.5729 0.3904 0.5853  -0.20
22 O 0.6349 0.9690 0.3812  -0.03
23 O 0.0725 0.9075 0.2961  -0.06
24 O 0.3651 0.0310 0.6188  -0.03

The calculation puts the magnetization at 3.98 μB/cell. Its calculated total energy is -7.205 eV per atom. The calculated density comes out at 3.41 Mg/m³. The space-group type is P-1 (2).